{"formula": "SrLiBO3", "functional": "PBE", "state": "optimized geometry", "lattice": [[6.665, 0.000, 0.000], [0.000, 6.705, 0.000], [-4.403, 0.000, 6.552]], "species": ["Sr", "Sr", "Sr", "Sr", "Li", "Li", "Li", "Li", "B", "B", "B", "B", "O", "O", "O", "O", "O", "O", "O", "O", "O", "O", "O", "O"], "fractional_positions": [[0.163, 0.120, 0.370], [0.163, 0.380, 0.870], [0.837, 0.620, 0.130], [0.837, 0.880, 0.630], [0.409, 0.597, 0.309], [0.409, 0.903, 0.809], [0.591, 0.097, 0.191], [0.591, 0.403, 0.691], [0.261, 0.629, 0.574], [0.261, 0.871, 0.074], [0.739, 0.129, 0.926], [0.739, 0.371, 0.426], [0.111, 0.706, 0.007], [0.111, 0.794, 0.507], [0.245, 0.011, 0.936], [0.245, 0.489, 0.436], [0.435, 0.602, 0.782], [0.435, 0.898, 0.282], [0.565, 0.102, 0.718], [0.565, 0.398, 0.218], [0.755, 0.511, 0.564], [0.755, 0.989, 0.064], [0.889, 0.206, 0.493], [0.889, 0.294, 0.993]], "formation_energy_uncorrected_ev_per_atom": -2.651, "sg": "No. 14"}